The following is a DFT calculation (PBE) of a geometry-optimized KTl2SiTe4 structure.

Its crystal system is orthorhombic. The value obtained for the electronic total energy is -3.15 eV/atom. The uncorrected formation energy is -0.172 eV per atom. For the spin magnetization, the calculation gives 0.0 μB/f.u.

The structure belongs to space group Imma (No. 74); the cell edges are 7.112, 12.166 and 12.897 Å and the angles 90.00°, 90.00° and 90.00°. Symmetry generates all atoms from K at (0.000, 0.000, 0.000), Tl at (0.000, 0.000, 0.500), Tl at (0.250, 0.250, 0.250), Si at (0.250, 0.250, 0.750), Te at (0.000, 0.085, 0.752) and Te at (0.220, 0.250, 0.514).



The following is a DFT calculation (PBE) of a geometry-optimized KTlSiTe3 structure.

Its crystal system is monoclinic. The value obtained for the electronic total energy is -3.41 eV/atom. The uncorrected formation energy is -0.360 eV per atom. For the spin magnetization, the calculation gives 0.0 μB/f.u.

The structure belongs to space group C2/m (No. 12); the cell edges are 12.217, 8.280 and 8.887 Å and the angles 90.00°, 102.46° and 90.00°. Symmetry generates all atoms from K at (0.132, 0.000, 0.198), Tl at (0.000, 0.246, 0.500), Si at (0.028, 0.500, 0.880), Te at (0.140, 0.245, 0.847) and Te at (0.143, 0.500, 0.341).



The following is a DFT calculation (PBE) of a geometry-optimized K2TlSiTe4 structure.

Its crystal system is orthorhombic. The value obtained for the electronic total energy is -3.13 eV/atom. The uncorrected formation energy is -0.312 eV per atom. For the spin magnetization, the calculation gives 0.0 μB/f.u.

The structure belongs to space group Imma (No. 74); the cell edges are 7.239, 11.937 and 13.209 Å and the angles 90.00°, 90.00° and 90.00°. Symmetry generates all atoms from K at (0.000, 0.000, 0.000), K at (0.250, 0.250, 0.250), Tl at (0.000, 0.000, 0.500), Si at (0.250, 0.250, 0.750), Te at (0.000, 0.082, 0.751) and Te at (0.218, 0.250, 0.511).



The following is a DFT calculation (PBE) of a geometry-optimized KVSi2Te structure.

Its crystal system is tetragonal. The value obtained for the electronic total energy is -4.22 eV/atom. The uncorrected formation energy is 0.624 eV per atom. For the spin magnetization, the calculation gives 2.9 μB/f.u.

The structure belongs to space group P4/mmm (No. 123); the cell edges are 4.802, 4.802 and 5.811 Å and the angles 90.00°, 90.00° and 90.00°. Symmetry generates all atoms from K at (0.000, 0.000, 0.000), V at (0.000, 0.000, 0.500), Si at (0.000, 0.500, 0.500) and Te at (0.500, 0.500, 0.000).